The following is a DFT calculation (PBE+U) of an optimized crystal structure of Ni2RuPtO6.

Lattice parameters (Å, degrees): 4.029 5.717 5.717 90.00 90.00 90.00
Fractional coordinates of all 10 atoms:
Ru  0.628  0.000  0.000
O  0.764  0.238  0.762
O  0.764  0.238  0.238
Ni  0.859  0.000  0.500
O  0.195  0.000  0.000
O  0.180  0.500  0.500
Ni  0.859  0.500  0.000
O  0.764  0.762  0.762
O  0.764  0.762  0.238
Pt  0.670  0.500  0.500

ρ = 6.42 g/cm³
D(E_F) = 4.07 states/eV/cell
Space group = P4mm (99)
Spin magnetization = 4.124 μB/cell
Final energy = -53.8 eV per formula unit